Here is an optimized crystal structure of Ag2BiMoF from Alexandria via LeMat-Bulk. Energies are from PBE with a Hubbard U.

Cell lengths 4.7300, 4.7300, 4.9251 Å; angles 90.00, 90.00, 90.00 degrees
With the nearest neighbours (Å) after each atom.
Space group P4/mmm (No. 123)
Asymmetric unit:
Ag (0.0000, 0.5000, 0.0000) x2  2 F 2.36
Bi (0.0000, 0.0000, 0.5000) x1  2 F 2.46
Mo (0.5000, 0.5000, 0.5000) x1  4 Bi 3.34, 8 Ag 3.41
F (0.0000, 0.0000, 0.0000) x1  4 Ag 2.36, 2 Bi 2.46

Total moment: 4.238 μB/f.u.
Uncorrected energy: -3.5180 eV/atom